The following is a PBE calculation of a geometry-optimized ScBeCl2 structure, from Alexandria.

The value obtained for the density of states at the Fermi level is 1.55 states/eV/f.u. The distance to the lowest polymorph of the same formula comes out at 0.0000 eV/atom. The uncorrected energy is -17.41 eV per cell. As for the crystal system: monoclinic. The formation energy from raw total energies comes out at -88.2 kJ/mol of atoms.

The structure belongs to space group Pm (No. 6); the cell edges are 3.4089, 3.2603 and 8.2438 Å and the angles 90.00°, 90.10° and 90.00°. The inequivalent atoms are Sc at (0.0000, 0.0000, 0.0000), Be at (0.5009, 0.5000, 0.1996), Cl at (0.5024, 0.0000, 0.3491) and Cl at (0.9987, 0.5000, 0.7735).